Arrangement i

A relaxed HfCuTeN2 crystal, computed with PBE.

## Properties
- magnetization (Bohr magnetons per cell) = 0.0
- calculated volume (Å³ per cell) = 77.6

Cell: 4.0031 4.0031 4.8450 Å, 90.00 90.00 90.00°
Fractional positions:
1 Hf 0.0000 0.0000 0.0000
2 Cu 0.5000 0.5000 0.5000
3 Te 0.5000 0.5000 0.0000
4 N 0.0000 0.5000 0.5000
5 N 0.5000 0.0000 0.5000



Arrangement ii

A relaxed HfCuTeN2 crystal, computed with PBE.

## Properties
- magnetization (Bohr magnetons per cell) = 0.2
- calculated volume (Å³ per cell) = 100.9

Cell: 4.0394 4.0394 6.1857 Å, 90.00 90.00 90.00°
Fractional positions:
1 Hf 0.0000 0.0000 0.0000
2 Cu 0.5000 0.5000 0.5000
3 Te 0.0000 0.0000 0.5000
4 N 0.0000 0.5000 0.0000
5 N 0.5000 0.0000 0.0000



arrangement ii takes first place; second place is 0.785 eV/atom up.



Arrangement i

A relaxed NaHf3Cu crystal, computed with PBE.

## Properties
- magnetization (Bohr magnetons per cell) = 0.0
- calculated volume (Å³ per cell) = 122.8

Cell: 4.9701 4.9701 4.9701 Å, 90.00 90.00 90.00°
Fractional positions:
1 Na 0.0000 0.0000 0.0000
2 Hf 0.0000 0.5000 0.5000
3 Hf 0.5000 0.0000 0.5000
4 Hf 0.5000 0.5000 0.0000
5 Cu 0.5000 0.5000 0.5000



Arrangement ii

A relaxed NaHf3Cu crystal, computed with PBE.

## Properties
- magnetization (Bohr magnetons per cell) = 0.0
- calculated volume (Å³ per cell) = 117.3

Cell: 4.8950 4.8950 4.8950 Å, 90.00 90.00 90.00°
Fractional positions:
1 Na 0.0000 0.0000 0.0000
2 Hf 0.0000 0.0000 0.5000
3 Hf 0.0000 0.5000 0.0000
4 Hf 0.5000 0.0000 0.0000
5 Cu 0.5000 0.5000 0.5000



arrangement i takes first place; second place is 1.037 eV/atom up.



Arrangement i

A relaxed NaHf2Cu2 crystal, computed with PBE.

## Properties
- magnetization (Bohr magnetons per cell) = 0.0
- calculated volume (Å³ per cell) = 190.0

Cell: 8.1941 8.1941 2.8292 Å, 90.00 90.00 90.00°
Fractional positions:
1 Na 0.0000 0.0000 0.0000
2 Na 0.5000 0.5000 0.0000
3 Hf 0.1340 0.3660 0.0000
4 Hf 0.3660 0.8660 0.0000
5 Hf 0.6340 0.1340 0.0000
6 Hf 0.8660 0.6340 0.0000
7 Cu 0.1606 0.6606 0.5000
8 Cu 0.3394 0.1606 0.5000
9 Cu 0.6606 0.8394 0.5000
10 Cu 0.8394 0.3394 0.5000



Arrangement ii

A relaxed NaHf2Cu2 crystal, computed with PBE.

## Properties
- magnetization (Bohr magnetons per cell) = 0.0
- calculated volume (Å³ per cell) = 185.9

Cell: 7.9484 7.9484 2.9424 Å, 90.00 90.00 90.00°
Fractional positions:
1 Na 0.0000 0.0000 0.0000
2 Na 0.5000 0.5000 0.0000
3 Hf 0.1621 0.3379 0.5000
4 Hf 0.3379 0.8379 0.5000
5 Hf 0.6621 0.1621 0.5000
6 Hf 0.8379 0.6621 0.5000
7 Cu 0.1294 0.6294 0.0000
8 Cu 0.3706 0.1294 0.0000
9 Cu 0.6294 0.8706 0.0000
10 Cu 0.8706 0.3706 0.0000



arrangement ii takes first place; second place is 0.041 eV/atom up.



Arrangement i

A relaxed NaHfCu crystal, computed with PBE.

## Properties
- magnetization (Bohr magnetons per cell) = 0.0
- calculated volume (Å³ per cell) = 130.9

Cell: 3.2105 3.2105 12.6993 Å, 90.00 90.00 90.00°
Fractional positions:
1 Na 0.0000 0.0000 0.0000
2 Na 0.5000 0.5000 0.2436
3 Hf 0.0000 0.0000 0.4657
4 Hf 0.5000 0.5000 0.6236
5 Cu 0.0000 0.0000 0.7563
6 Cu 0.5000 0.5000 0.8424



Arrangement ii

A relaxed NaHfCu crystal, computed with PBE.

## Properties
- magnetization (Bohr magnetons per cell) = 0.0
- calculated volume (Å³ per cell) = 64.0

Cell: 7.1022 7.1022 7.1022 Å, 154.98 154.98 35.68°
Fractional positions:
1 Na 0.0000 0.0000 0.0000
2 Hf 0.7199 0.7199 0.0000
3 Cu 0.3363 0.3363 0.0000



Arrangement iii

A relaxed NaHfCu crystal, computed with PBE.

## Properties
- magnetization (Bohr magnetons per cell) = 0.0
- calculated volume (Å³ per cell) = 127.3

Cell: 5.6939 5.6939 7.7589 Å, 109.03 109.03 32.56°
Fractional positions:
1 Na 0.0000 0.0000 0.0000
2 Na 0.6989 0.6989 0.8510
3 Hf 0.3439 0.3439 0.2917
4 Hf 0.6517 0.6517 0.4058
5 Cu 0.3426 0.3426 0.6356
6 Cu 0.9983 0.9983 0.5539



arrangement i takes first place; second place is 0.158 eV/atom up.



Arrangement i

A relaxed NaHfCu crystal, computed with PBE.

## Properties
- magnetization (Bohr magnetons per cell) = 0.0
- calculated volume (Å³ per cell) = 129.7

Cell: 4.2749 9.6172 9.6172 Å, 19.16 90.00 90.00°
Fractional positions:
1 Na 0.0000 0.0000 0.0000
2 Na 0.5000 0.3870 0.3870
3 Hf 0.0000 0.7730 0.7730
4 Hf 0.5000 0.1887 0.1887
5 Cu 0.0000 0.6353 0.6353
6 Cu 0.5000 0.5701 0.5701



Arrangement ii

A relaxed NaHfCu crystal, computed with PBE.

## Properties
- magnetization (Bohr magnetons per cell) = 0.0
- calculated volume (Å³ per cell) = 119.9

Cell: 6.3058 6.3058 7.0589 Å, 111.98 111.98 27.58°
Fractional positions:
1 Na 0.1546 0.1546 0.3311
2 Na 0.8454 0.8454 0.6689
3 Hf 0.1389 0.1389 0.8495
4 Hf 0.8611 0.8611 0.1505
5 Cu 0.5000 0.5000 0.0000
6 Cu 0.5000 0.5000 0.5000



arrangement i takes first place; second place is 0.056 eV/atom up.



Arrangement i

A relaxed NaHf2Cu crystal, computed with PBE.

## Properties
- magnetization (Bohr magnetons per cell) = 0.0
- calculated volume (Å³ per cell) = 76.4

Cell: 4.7620 4.7620 4.7620 Å, 60.00 60.00 60.00°
Fractional positions:
1 Na 0.0000 0.0000 0.0000
2 Hf 0.2500 0.2500 0.2500
3 Hf 0.7500 0.7500 0.7500
4 Cu 0.5000 0.5000 0.5000



Arrangement ii

A relaxed NaHf2Cu crystal, computed with PBE.

## Properties
- magnetization (Bohr magnetons per cell) = 0.0
- calculated volume (Å³ per cell) = 173.4

Cell: 10.9214 10.9214 10.9214 Å, 158.60 158.60 30.45°
Fractional positions:
1 Na 0.0000 0.0000 0.0000
2 Na 0.7500 0.2500 0.5000
3 Hf 0.1376 0.6250 0.0126
4 Hf 0.3750 0.3876 0.5126
5 Hf 0.6124 0.1250 0.9874
6 Hf 0.8750 0.8624 0.4874
7 Cu 0.2500 0.7500 0.5000
8 Cu 0.5000 0.5000 0.0000



arrangement i takes first place; second place is 0.264 eV/atom up.



Arrangement i

A relaxed HfNb2Cu2 crystal, computed with PBE.

## Properties
- magnetization (Bohr magnetons per cell) = 0.0
- calculated volume (Å³ per cell) = 86.9

Cell: 6.4679 6.4679 6.4679 Å, 145.38 145.38 49.77°
Fractional positions:
1 Hf 0.0000 0.0000 0.0000
2 Nb 0.2500 0.7500 0.5000
3 Nb 0.7500 0.2500 0.5000
4 Cu 0.4044 0.4044 0.0000
5 Cu 0.5956 0.5956 0.0000



Arrangement ii

A relaxed HfNb2Cu2 crystal, computed with PBE.

## Properties
- magnetization (Bohr magnetons per cell) = 0.0
- calculated volume (Å³ per cell) = 167.1

Cell: 7.3333 7.3333 3.1069 Å, 90.00 90.00 90.00°
Fractional positions:
1 Hf 0.0000 0.0000 0.0000
2 Hf 0.5000 0.5000 0.0000
3 Nb 0.1756 0.3244 0.5000
4 Nb 0.3244 0.8244 0.5000
5 Nb 0.6756 0.1756 0.5000
6 Nb 0.8244 0.6756 0.5000
7 Cu 0.1197 0.6197 0.0000
8 Cu 0.3803 0.1197 0.0000
9 Cu 0.6197 0.8803 0.0000
10 Cu 0.8803 0.3803 0.0000



arrangement ii takes first place; second place is 0.050 eV/atom up.



Arrangement i

A relaxed HfNbCu2 crystal, computed with PBE.

## Properties
- magnetization (Bohr magnetons per cell) = 0.0
- calculated volume (Å³ per cell) = 64.5

Cell: 4.5022 4.5022 4.5022 Å, 60.00 60.00 60.00°
Fractional positions:
1 Hf 0.0000 0.0000 0.0000
2 Nb 0.5000 0.5000 0.5000
3 Cu 0.2500 0.2500 0.2500
4 Cu 0.7500 0.7500 0.7500



Arrangement ii

A relaxed HfNbCu2 crystal, computed with PBE.

## Properties
- magnetization (Bohr magnetons per cell) = 0.0
- calculated volume (Å³ per cell) = 63.9

Cell: 4.0506 4.0506 3.8933 Å, 90.00 90.00 90.00°
Fractional positions:
1 Hf 0.0000 0.0000 0.0000
2 Nb 0.5000 0.5000 0.0000
3 Cu 0.0000 0.5000 0.5000
4 Cu 0.5000 0.0000 0.5000



arrangement ii takes first place; second place is 0.010 eV/atom up.



Arrangement i

A relaxed HfNb3Cu crystal, computed with PBE.

## Properties
- magnetization (Bohr magnetons per cell) = 0.0
- calculated volume (Å³ per cell) = 117.3

Cell: 4.8951 4.8951 4.8951 Å, 90.00 90.00 90.00°
Fractional positions:
1 Hf 0.0000 0.0000 0.0000
2 Nb 0.0000 0.0000 0.5000
3 Nb 0.0000 0.5000 0.0000
4 Nb 0.5000 0.0000 0.0000
5 Cu 0.5000 0.5000 0.5000



Arrangement ii

A relaxed HfNb3Cu crystal, computed with PBE.

## Properties
- magnetization (Bohr magnetons per cell) = 0.0
- calculated volume (Å³ per cell) = 103.8

Cell: 4.6998 4.6998 4.6998 Å, 90.00 90.00 90.00°
Fractional positions:
1 Hf 0.0000 0.0000 0.0000
2 Nb 0.0000 0.5000 0.5000
3 Nb 0.5000 0.0000 0.5000
4 Nb 0.5000 0.5000 0.0000
5 Cu 0.5000 0.5000 0.5000



arrangement ii takes first place; second place is 0.881 eV/atom up.



Arrangement i

A relaxed Hf2NpCu crystal, computed with PBE.

## Properties
- magnetization (Bohr magnetons per cell) = 3.4
- calculated volume (Å³ per cell) = 77.1

Cell: 4.9900 4.9900 3.0972 Å, 90.00 90.00 90.00°
Fractional positions:
1 Hf 0.0000 0.5000 0.0000
2 Hf 0.5000 0.0000 0.0000
3 Np 0.0000 0.0000 0.5000
4 Cu 0.5000 0.5000 0.5000



Arrangement ii

A relaxed Hf2NpCu crystal, computed with PBE.

## Properties
- magnetization (Bohr magnetons per cell) = 3.4
- calculated volume (Å³ per cell) = 79.2

Cell: 3.1297 3.1297 8.0899 Å, 90.00 90.00 90.00°
Fractional positions:
1 Hf 0.0000 0.0000 0.2159
2 Hf 0.0000 0.0000 0.7841
3 Np 0.5000 0.5000 0.5000
4 Cu 0.5000 0.5000 0.0000



arrangement ii takes first place; second place is 0.112 eV/atom up.



Arrangement i

A relaxed HfCuPO2 crystal, computed with PBE.

## Properties
- magnetization (Bohr magnetons per cell) = 0.0
- calculated volume (Å³ per cell) = 64.3

Cell: 3.8109 3.8109 4.4301 Å, 90.00 90.00 90.00°
Fractional positions:
1 Hf 0.0000 0.0000 0.0000
2 Cu 0.5000 0.5000 0.5000
3 P 0.5000 0.5000 0.0000
4 O 0.0000 0.5000 0.5000
5 O 0.5000 0.0000 0.5000



Arrangement ii

A relaxed HfCuPO2 crystal, computed with PBE.

## Properties
- magnetization (Bohr magnetons per cell) = 0.3
- calculated volume (Å³ per cell) = 87.3

Cell: 3.9373 3.9373 5.6300 Å, 90.00 90.00 90.00°
Fractional positions:
1 Hf 0.0000 0.0000 0.0000
2 Cu 0.5000 0.5000 0.5000
3 P 0.0000 0.0000 0.5000
4 O 0.0000 0.5000 0.0000
5 O 0.5000 0.0000 0.0000



arrangement ii takes first place; second place is 0.626 eV/atom up.



Arrangement i

A relaxed HfCuP2O crystal, computed with PBE.

## Properties
- magnetization (Bohr magnetons per cell) = 0.0
- calculated volume (Å³ per cell) = 102.7

Cell: 5.1460 5.1460 3.8776 Å, 90.00 90.00 90.00°
Fractional positions:
1 Hf 0.0000 0.0000 0.0000
2 Cu 0.5000 0.5000 0.5000
3 P 0.0000 0.5000 0.0000
4 P 0.5000 0.0000 0.0000
5 O 0.0000 0.0000 0.5000



Arrangement ii

A relaxed HfCuP2O crystal, computed with PBE.

## Properties
- magnetization (Bohr magnetons per cell) = 0.0
- calculated volume (Å³ per cell) = 75.6

Cell: 4.5480 4.5480 3.6538 Å, 90.00 90.00 90.00°
Fractional positions:
1 Hf 0.0000 0.0000 0.0000
2 Cu 0.5000 0.5000 0.5000
3 P 0.0000 0.5000 0.5000
4 P 0.5000 0.0000 0.5000
5 O 0.5000 0.5000 0.0000



arrangement i takes first place; second place is 0.153 eV/atom up.